one) Compound: FeSn3Bi
Source: Alexandria
Functional: PBE
Structure: relaxed

a b c (Å): 5.7973 5.7973 5.7973
angles (deg): 90.00 90.00 90.00
Fractional positions:
Fe1 0.0000 0.0000 0.0000
Sn1 0.0000 0.5000 0.5000
Sn2 0.5000 0.0000 0.5000
Sn3 0.5000 0.5000 0.0000
Bi1 0.5000 0.5000 0.5000

## Properties
The volume comes out at 195 Å³/f.u. As for the symmetry: Pm-3m (221). The crystal system is cubic.


two) Compound: FeSn3Bi
Source: Alexandria
Functional: PBE
Structure: relaxed

a b c (Å): 5.0271 5.0271 5.0271
angles (deg): 90.00 90.00 90.00
Fractional positions:
Fe1 0.0000 0.0000 0.0000
Sn1 0.0000 0.0000 0.5000
Sn2 0.0000 0.5000 0.0000
Sn3 0.5000 0.0000 0.0000
Bi1 0.5000 0.5000 0.5000

## Properties
The volume comes out at 127 Å³/f.u. As for the symmetry: Pm-3m (221). The crystal system is cubic.


two) ends up most stable, edging out the next structure by 1.245 eV/atom.


one) Compound: SrFeBi3
Source: Alexandria
Functional: PBE
Structure: relaxed

a b c (Å): 5.2872 5.2872 5.2872
angles (deg): 90.00 90.00 90.00
Fractional positions:
Sr1 0.0000 0.0000 0.0000
Fe1 0.5000 0.5000 0.5000
Bi1 0.0000 0.5000 0.5000
Bi2 0.5000 0.0000 0.5000
Bi3 0.5000 0.5000 0.0000

## Properties
The volume comes out at 148 Å³/f.u. As for the symmetry: Pm-3m (221). The crystal system is cubic.


two) Compound: SrFeBi3
Source: Alexandria
Functional: PBE
Structure: relaxed

a b c (Å): 6.0169 6.0169 6.0169
angles (deg): 90.00 90.00 90.00
Fractional positions:
Sr1 0.0000 0.0000 0.0000
Fe1 0.5000 0.5000 0.5000
Bi1 0.0000 0.0000 0.5000
Bi2 0.0000 0.5000 0.0000
Bi3 0.5000 0.0000 0.0000

## Properties
The volume comes out at 218 Å³/f.u. As for the symmetry: Pm-3m (221). The crystal system is cubic.


one) ends up most stable, edging out the next structure by 1.221 eV/atom.